No. 1
Material: DyTmCu2
Method: DFT, meta-GGA SCAN
State: single point on PBEsol structure

Values from the calculation:
The formation enthalpy at 0 K comes out at -1.30 eV per formula unit. For the electronic total energy, the calculation gives -32.833 eV/atom. The calculation puts the density of states at the Fermi level at 1.9 states/eV/f.u.

The structure in CIF format:
```
data_DyTmCu2
_chemical_formula_sum 'Dy4 Tm4 Cu8'
_space_group_name_H-M_alt 'F m -3 m'
_space_group_IT_number 225
_space_group_name_Hall '-F 4 2 3'
_cell_length_a 6.760
_cell_length_b 6.760
_cell_length_c 6.760
_cell_angle_alpha 90.00
_cell_angle_beta 90.00
_cell_angle_gamma 90.00
loop_
_atom_site_label
_atom_site_type_symbol
_atom_site_fract_x
_atom_site_fract_y
_atom_site_fract_z
_atom_site_occupancy
Dy1 Dy 0.000 0.000 0.000 1
Tm1 Tm 0.000 0.000 0.500 1
Cu1 Cu 0.250 0.250 0.250 1
```

No. 2
Material: TaCrIn2
Method: DFT, meta-GGA SCAN
State: single point on PBEsol structure

Values from the calculation:
The formation enthalpy at 0 K comes out at 1.23 eV per formula unit. For the electronic total energy, the calculation gives -37.627 eV/atom. The calculation puts the density of states at the Fermi level at 2.3 states/eV/f.u.

The structure in CIF format:
```
data_TaCrIn2
_chemical_formula_sum 'Ta2 Cr2 In4'
_space_group_name_H-M_alt 'I m m 2'
_space_group_IT_number 44
_cell_length_a 3.266
_cell_length_b 4.671
_cell_length_c 9.378
_cell_angle_alpha 90.00
_cell_angle_beta 90.00
_cell_angle_gamma 90.00
loop_
_space_group_symop_operation_xyz
'x,y,z'
'-x,-y,z'
'-x,y,z'
'x,-y,z'
'x+1/2,y+1/2,z+1/2'
'-x+1/2,-y+1/2,z+1/2'
'-x+1/2,y+1/2,z+1/2'
'x+1/2,-y+1/2,z+1/2'
loop_
_atom_site_label
_atom_site_type_symbol
_atom_site_fract_x
_atom_site_fract_y
_atom_site_fract_z
_atom_site_occupancy
Ta1 Ta 0.000 0.000 0.000 1
Cr1 Cr 0.000 0.500 0.300 1
In1 In 0.000 0.000 0.551 1
In2 In 0.000 0.500 0.774 1
```

No. 3
Material: Li2TiFeO4
Method: DFT, meta-GGA SCAN
State: single point on PBEsol structure

Values from the calculation:
For the formation energy from raw total energies, the calculation gives -2429 meV per atom. For the electronic total energy, the calculation gives -10.412 eV/atom. Its distance to the lowest polymorph of the same formula is 0.025 eV per atom. The calculation puts the density of states at the Fermi level at 0.2 states/eV/f.u.

The structure in CIF format:
```
data_Li2TiFeO4
_chemical_formula_sum 'Li8 Ti4 Fe4 O16'
_space_group_name_H-M_alt 'I m m 2'
_space_group_IT_number 44
_cell_length_a 5.755
_cell_length_b 5.785
_cell_length_c 7.933
_cell_angle_alpha 90.00
_cell_angle_beta 90.00
_cell_angle_gamma 90.00
loop_
_space_group_symop_operation_xyz
'x,y,z'
'-x,-y,z'
'-x,y,z'
'x,-y,z'
'x+1/2,y+1/2,z+1/2'
'-x+1/2,-y+1/2,z+1/2'
'-x+1/2,y+1/2,z+1/2'
'x+1/2,-y+1/2,z+1/2'
loop_
_atom_site_label
_atom_site_type_symbol
_atom_site_fract_x
_atom_site_fract_y
_atom_site_fract_z
_atom_site_occupancy
Li1 Li 0.000 0.240 0.000 1
Li2 Li 0.249 0.000 0.751 1
Ti1 Ti 0.244 0.000 0.264 1
Fe1 Fe 0.000 0.246 0.492 1
O1 O 0.000 0.242 0.245 1
O2 O 0.000 0.267 0.745 1
O3 O 0.226 0.500 0.503 1
O4 O 0.237 0.000 0.506 1
```